1.
DFT (PBE-GGA) results for a relaxed SrTbPmEu crystal.

The calculation puts the total DFT energy (no corrections) at -5.14 eV per atom.

The structure belongs to space group F-43m (No. 216); the cell edges are 8.528, 8.528 and 8.528 Å and the angles 90.00°, 90.00° and 90.00°. Symmetry generates all atoms from Sr at (0.000, 0.000, 0.000), Tb at (0.000, 0.000, 0.500), Pm at (0.250, 0.250, 0.250) and Eu at (0.250, 0.250, 0.750).


2.
DFT (PBE-GGA) results for a relaxed SrPmEuTl crystal.

The calculation puts the total DFT energy (no corrections) at -4.81 eV per atom.

The structure belongs to space group F-43m (No. 216); the cell edges are 8.223, 8.223 and 8.223 Å and the angles 90.00°, 90.00° and 90.00°. Symmetry generates all atoms from Sr at (0.000, 0.000, 0.000), Pm at (0.000, 0.000, 0.500), Eu at (0.250, 0.250, 0.750) and Tl at (0.250, 0.250, 0.250).


3.
DFT (PBE-GGA) results for a relaxed SrPmEuTm crystal.

The calculation puts the total DFT energy (no corrections) at -5.09 eV per atom.

The structure belongs to space group F-43m (No. 216); the cell edges are 8.484, 8.484 and 8.484 Å and the angles 90.00°, 90.00° and 90.00°. Symmetry generates all atoms from Sr at (0.000, 0.000, 0.000), Pm at (0.250, 0.250, 0.750), Eu at (0.250, 0.250, 0.250) and Tm at (0.000, 0.000, 0.500).


4.
DFT (PBE-GGA) results for a relaxed TbPm2Eu crystal.

The value obtained for the energy above the most stable polymorph in this dataset is 99 meV/atom. The calculation puts the total DFT energy (no corrections) at -5.96 eV per atom.

The structure belongs to space group R-3m (No. 166, hexagonal axes); the cell edges are 3.5961, 3.5961 and 38.2324 Å and the angles 90.00°, 90.00° and 120.00°. Symmetry generates all atoms from Tb at (0.0000, 0.0000, 0.0000), Pm at (0.0000, 0.0000, 0.4090) and Eu at (0.0000, 0.0000, 0.5000).


Values for ΔH_f (0 K), eV/atom, ordered as above
0.199 -0.045 0.207 0.137